## Li4TbP2 (GGA-PBE)

Data for Li4TbP2 after structural relaxation.

Results
calculated density = 3.72 Mg/m³
DOS at the Fermi energy = 3.614 states/eV/f.u.
space-group type = No. 136
total energy = -4.12 eV/atom

abc: 4.008 7.445 7.445
angles: 90.00 90.00 90.00
Site moments in Bohr magnetons follow the coordinates.
Fractional coordinates of all 14 atoms:
Li 0.000 0.097 0.335  0.01
Li 0.000 0.903 0.665  0.01
Li 0.500 0.165 0.597  0.01
Li 0.500 0.835 0.403  0.01
Li 0.500 0.403 0.835  0.01
Li 0.500 0.597 0.165  0.01
Li 0.000 0.335 0.097  0.01
Li 0.000 0.665 0.903  0.01
Tb 0.500 0.000 0.000  0.08
Tb 0.000 0.500 0.500  0.08
P 0.000 0.211 0.789  -0.01
P 0.000 0.789 0.211  -0.01
P 0.500 0.711 0.711  -0.01
P 0.500 0.289 0.289  -0.01